Record 1
Computed, not measured: an optimized crystal structure of Ba2CdSe at the PBE-GGA level of DFT.

Cell: 9.2476 9.2476 9.2476 Å, 153.50 152.07 38.88°
Closest atoms and distances in Å follow each position.
Sites, in units of the cell vectors:
Se  0.2088  0.7088  0.5000  6 Ba 3.32-3.36
Ba  0.7799  0.2799  0.5000  4 Se 3.32
Ba  0.0591  0.0591  0.0000  2 Se 3.36, 4 Cd 3.60
Cd  0.4523  0.4523  0.0000  6 Ba 3.60-3.75

Calculated values
Energy above the most stable polymorph in this dataset, eV per atom: 0.068
Space group: No. 44
E_form (uncorrected), meV per atom: -960
DOS(E_F), states/eV/atom: 0.7587
Total magnetic moment, μB per formula unit: 0.00

***

Record 2
Computed, not measured: an optimized crystal structure of Ba2CdSe at the PBE-GGA level of DFT.

Cell: 8.8865 8.8865 7.7521 Å, 55.03 55.03 90.00°
Closest atoms and distances in Å follow each position.
Sites, in units of the cell vectors:
Se  0.5000  0.5000  0.0000  4 Ba 3.15
Se  0.2500  0.7500  0.5000  4 Ba 3.15
Ba  0.8750  0.8418  0.7500  2 Se 3.15
Ba  0.3750  0.4082  0.7500  2 Se 3.15
Ba  0.1582  0.6250  0.2500  2 Se 3.15
Ba  0.5918  0.1250  0.2500  2 Se 3.15
Cd  0.0000  0.0000  0.0000  4 Ba 3.54
Cd  0.7500  0.2500  0.5000  4 Ba 3.54

Calculated values
Energy above the most stable polymorph in this dataset, eV per atom: 0.158
Space group: No. 122
E_form (uncorrected), meV per atom: -870
DOS(E_F), states/eV/atom: 0.4838
Total magnetic moment, μB per formula unit: 0.00

***

Record 3
Computed, not measured: an optimized crystal structure of Ba2Cd2Se at the PBE-GGA level of DFT.

Cell: 4.1859 4.1859 10.3056 Å, 78.28 78.28 90.00°
Closest atoms and distances in Å follow each position.
Sites, in units of the cell vectors:
Cd  0.7500  0.2500  0.5000  4 Cd 2.96
Cd  0.2500  0.7500  0.5000  4 Cd 2.96
Se  0.0000  0.0000  0.0000  8 Ba 3.49
Ba  0.5939  0.5939  0.8122  4 Se 3.49, 1 Ba 3.71, 4 Cd 3.73
Ba  0.4061  0.4061  0.1878  4 Se 3.49, 1 Ba 3.71, 4 Cd 3.73

Calculated values
Energy above the most stable polymorph in this dataset, eV per atom: 0.000
Space group: No. 139
E_form (uncorrected), meV per atom: -801
DOS(E_F), states/eV/atom: 0.4625
Total magnetic moment, μB per formula unit: 0.00

***

Record 4
Computed, not measured: an optimized crystal structure of Ba2Cd2Se at the PBE-GGA level of DFT.

Cell: 6.6783 6.6783 6.3840 Å, 58.46 58.46 90.00°
Closest atoms and distances in Å follow each position.
Sites, in units of the cell vectors:
Ba  0.2500  0.7500  0.5000  4 Cd 3.43
Ba  0.7500  0.2500  0.5000  4 Cd 3.43
Cd  0.6590  0.6590  0.6819  1 Cd 2.73, 1 Se 2.93
Cd  0.3410  0.3410  0.3181  1 Cd 2.73, 1 Se 2.93
Se  0.0000  0.0000  0.0000  2 Cd 2.93

Calculated values
Energy above the most stable polymorph in this dataset, eV per atom: 0.451
Space group: No. 139
E_form (uncorrected), meV per atom: -350
DOS(E_F), states/eV/atom: 1.4231
Total magnetic moment, μB per formula unit: 0.00